1.
Density functional theory data (PBE) for an optimized crystal structure of Ce2MgZn4Au3.

Output
**E_form**: -0.436 eV per atom
**SG**: No. 115
**Raw total energy**: -3.2752 eV/atom

The structure in CIF format:
```
data_Ce2MgZn4Au3
_chemical_formula_sum 'Ce2 Mg1 Zn4 Au3'
_cell_length_a 4.150
_cell_length_b 4.150
_cell_length_c 12.009
_cell_angle_alpha 90.00
_cell_angle_beta 90.00
_cell_angle_gamma 90.00
_symmetry_space_group_name_H-M 'P 1'
_symmetry_Int_Tables_number 1
_symmetry_space_group_name_Hall 'P 1'
loop_
_atom_site_label
_atom_site_fract_x
_atom_site_fract_y
_atom_site_fract_z
Zn1 0.500 0.000 0.643
Zn2 0.000 0.000 0.000
Zn3 0.500 0.500 0.000
Zn4 0.000 0.500 0.357
Ce1 0.500 0.000 0.241
Ce2 0.000 0.500 0.759
Au1 0.000 0.500 0.141
Au2 0.500 0.000 0.859
Au3 0.000 0.000 0.500
Mg1 0.500 0.500 0.500
```

2.
Density functional theory data (PBE) for an optimized crystal structure of CeMgZnAu.

Output
**E_form**: -0.470 eV per atom
**SG**: No. 216
**Raw total energy**: -3.4903 eV/atom

The structure in CIF format:
```
data_CeMgZnAu
_chemical_formula_sum 'Ce1 Mg1 Zn1 Au1'
_cell_length_a 4.951
_cell_length_b 4.951
_cell_length_c 4.951
_cell_angle_alpha 60.00
_cell_angle_beta 60.00
_cell_angle_gamma 60.00
_symmetry_space_group_name_H-M 'P 1'
_symmetry_Int_Tables_number 1
_symmetry_space_group_name_Hall 'P 1'
loop_
_atom_site_label
_atom_site_fract_x
_atom_site_fract_y
_atom_site_fract_z
Ce1 0.250 0.250 0.250
Au1 0.000 0.000 0.000
Mg1 0.750 0.750 0.750
Zn1 0.500 0.500 0.500
```

3.
Density functional theory data (PBE) for an optimized crystal structure of Ce4MnAu.

Output
**E_form**: -0.176 eV per atom
**SG**: No. 15
**Raw total energy**: -6.2061 eV/atom

The structure in CIF format:
```
data_Ce4MnAu
_chemical_formula_sum 'Ce8 Mn2 Au2'
_cell_length_a 5.792
_cell_length_b 8.494
_cell_length_c 7.299
_cell_angle_alpha 54.42
_cell_angle_beta 80.64
_cell_angle_gamma 73.77
_symmetry_space_group_name_H-M 'P 1'
_symmetry_Int_Tables_number 1
_symmetry_space_group_name_Hall 'P 1'
loop_
_atom_site_label
_atom_site_fract_x
_atom_site_fract_y
_atom_site_fract_z
Ce1 0.371 0.185 0.199
Ce2 0.129 0.616 0.199
Ce3 0.871 0.384 0.801
Ce4 0.564 0.709 0.349
Ce5 0.064 0.058 0.651
Ce6 0.436 0.291 0.651
Ce7 0.629 0.815 0.801
Ce8 0.936 0.942 0.349
Au1 0.250 0.614 0.772
Au2 0.750 0.386 0.228
Mn1 0.750 0.005 0.989
Mn2 0.250 0.995 0.011
```

4.
Density functional theory data (PBE) for an optimized crystal structure of Ce3MnAu.

Output
**E_form**: -0.118 eV per atom
**SG**: No. 221
**Raw total energy**: -6.1679 eV/atom

The structure in CIF format:
```
data_Ce3MnAu
_chemical_formula_sum 'Ce3 Mn1 Au1'
_cell_length_a 4.990
_cell_length_b 4.990
_cell_length_c 4.990
_cell_angle_alpha 90.00
_cell_angle_beta 90.00
_cell_angle_gamma 90.00
_symmetry_space_group_name_H-M 'P 1'
_symmetry_Int_Tables_number 1
_symmetry_space_group_name_Hall 'P 1'
loop_
_atom_site_label
_atom_site_fract_x
_atom_site_fract_y
_atom_site_fract_z
Au1 0.500 0.500 0.500
Ce1 0.000 0.500 0.000
Ce2 0.500 0.000 0.000
Ce3 0.000 0.000 0.500
Mn1 0.000 0.000 0.000
```